[1]
# MoOsRh2 meta-GGA SCAN single point on PBEsol structure
data_MoOsRh2
_chemical_formula_sum 'Mo1 Os1 Rh2'
_cell_length_a 3.227
_cell_length_b 3.227
_cell_length_c 5.472
_cell_angle_alpha 90.00
_cell_angle_beta 90.00
_cell_angle_gamma 90.00
_symmetry_space_group_name_H-M 'P 4 m m'
_symmetry_Int_Tables_number 99
_symmetry_space_group_name_Hall 'P 4 -2'
loop_
_atom_site_label
_atom_site_type_symbol
_atom_site_fract_x
_atom_site_fract_y
_atom_site_fract_z
Mo1 Mo 0.000 0.000 0.000
Os1 Os 0.500 0.500 0.258
Rh1 Rh 0.000 0.000 0.510
Rh2 Rh 0.500 0.500 0.750
# formation enthalpy at 0 K = 0.20 eV/atom
# spin magnetization = 0.0 μB/cell
# final energy = -43.377 eV per atom


[2]
# TcSbIr3 meta-GGA SCAN single point on PBEsol structure
data_TcSbIr3
_chemical_formula_sum 'Tc1 Sb1 Ir3'
_cell_length_a 4.752
_cell_length_b 4.752
_cell_length_c 4.752
_cell_angle_alpha 90.00
_cell_angle_beta 90.00
_cell_angle_gamma 90.00
_symmetry_space_group_name_H-M 'P m -3 m'
_symmetry_Int_Tables_number 221
_symmetry_space_group_name_Hall '-P 4 2 3'
loop_
_atom_site_label
_atom_site_type_symbol
_atom_site_fract_x
_atom_site_fract_y
_atom_site_fract_z
Tc1 Tc 0.000 0.000 0.000
Sb1 Sb 0.500 0.500 0.500
Ir1 Ir 0.000 0.500 0.500
# spin magnetization = 6.4 μB/cell
# final energy = -55.028 eV per atom


[3]
# LiBe2Fe meta-GGA SCAN single point on PBEsol structure
data_LiBe2Fe
_chemical_formula_sum 'Li2 Be4 Fe2'
_cell_length_a 3.316
_cell_length_b 3.316
_cell_length_c 6.607
_cell_angle_alpha 90.00
_cell_angle_beta 90.00
_cell_angle_gamma 90.00
_symmetry_space_group_name_H-M 'I -4 m 2'
_symmetry_Int_Tables_number 119
_symmetry_space_group_name_Hall 'I -4 -2'
loop_
_atom_site_label
_atom_site_type_symbol
_atom_site_fract_x
_atom_site_fract_y
_atom_site_fract_z
Li1 Li 0.000 0.000 0.000
Be1 Be 0.000 0.000 0.500
Be2 Be 0.000 0.500 0.250
Fe1 Fe 0.000 0.500 0.750
# formation enthalpy at 0 K = 0.22 eV/atom
# spin magnetization = 3.4 μB/cell
# final energy = -7.084 eV per atom


[4]
# AlAg7 meta-GGA SCAN single point on PBEsol structure
data_AlAg7
_chemical_formula_sum 'Al1 Ag7'
_cell_length_a 4.941
_cell_length_b 4.949
_cell_length_c 5.668
_cell_angle_alpha 106.61
_cell_angle_beta 90.16
_cell_angle_gamma 99.30
_symmetry_space_group_name_H-M 'P -1'
_symmetry_Int_Tables_number 2
_symmetry_space_group_name_Hall '-P 1'
loop_
_atom_site_label
_atom_site_type_symbol
_atom_site_fract_x
_atom_site_fract_y
_atom_site_fract_z
Al1 Al 0.000 0.000 0.000
Ag1 Ag 0.000 0.000 0.500
Ag2 Ag 0.244 0.498 0.875
Ag3 Ag 0.250 0.491 0.371
Ag4 Ag 0.499 0.002 0.753
# formation enthalpy at 0 K = -0.04 eV/atom
# spin magnetization = 0.0 μB/cell
# final energy = -28.459 eV per atom


[5]
# SrCa2Co meta-GGA SCAN single point on PBEsol structure
data_SrCa2Co
_chemical_formula_sum 'Sr3 Ca6 Co3'
_cell_length_a 3.9206
_cell_length_b 3.9206
_cell_length_c 30.2005
_cell_angle_alpha 90.00
_cell_angle_beta 90.00
_cell_angle_gamma 120.00
_symmetry_space_group_name_H-M 'R -3 m'
_symmetry_Int_Tables_number 166
_symmetry_space_group_name_Hall '-R 3 2"'
loop_
_atom_site_label
_atom_site_type_symbol
_atom_site_fract_x
_atom_site_fract_y
_atom_site_fract_z
Sr1 Sr 0.0000 0.0000 0.0000
Ca1 Ca 0.0000 0.0000 0.2198
Co1 Co 0.0000 0.0000 0.5000
# formation enthalpy at 0 K = 0.38 eV/atom
# spin magnetization = 3.0 μB/cell
# final energy = -14.343 eV per atom


[6]
# Na2FeO4 meta-GGA SCAN single point on PBEsol structure
data_Na2FeO4
_chemical_formula_sum 'Na8 Fe4 O16'
_cell_length_a 5.761
_cell_length_b 9.175
_cell_length_c 7.144
_cell_angle_alpha 90.00
_cell_angle_beta 90.00
_cell_angle_gamma 90.00
_symmetry_space_group_name_H-M 'C m c m'
_symmetry_Int_Tables_number 63
_symmetry_space_group_name_Hall '-C 2c 2'
loop_
_atom_site_label
_atom_site_type_symbol
_atom_site_fract_x
_atom_site_fract_y
_atom_site_fract_z
Na1 Na 0.000 0.000 0.000
Na2 Na 0.000 0.316 0.250
Fe1 Fe 0.000 0.353 0.750
O1 O 0.000 0.250 0.564
O2 O 0.233 0.459 0.750
# spin magnetization = 8.0 μB/cell
# final energy = -8.860 eV per atom


Q: Which of these has the highest final energy?
A: LiBe2Fe